(1)
An optimized crystal structure of RhPb4Au. Source: the Alexandria database, functional GGA-PBE.

Properties
Energy above the lowest structure with this stoichiometry, meV per atom: 0
DFT total energy, eV/f.u.: -25.90

a b c (Å): 8.868 13.094 6.042
angles (deg): 90.00 116.98 90.00
Space group C2/c (No. 15)
One atom of each set of equivalent atoms:
Rh (0.000, 0.002, 0.250) (multiplicity 4)
Pb (0.122, 0.173, 0.585) (multiplicity 8)
Pb (0.204, 0.429, 0.809) (multiplicity 8)
Au (0.000, 0.366, 0.250) (multiplicity 4)

=====

(2)
An optimized crystal structure of Rh3PbAu. Source: the Alexandria database, functional GGA-PBE.

Properties
Energy above the lowest structure with this stoichiometry, meV per atom: 0
DFT total energy, eV/f.u.: -22.69

a b c (Å): 4.894 4.894 4.894
angles (deg): 90.00 90.00 90.00
Space group Pm-3m (No. 221)
One atom of each set of equivalent atoms:
Rh (0.000, 0.000, 0.500) (multiplicity 3)
Pb (0.500, 0.500, 0.500) (multiplicity 1)
Au (0.000, 0.000, 0.000) (multiplicity 1)

=====

(3)
An optimized crystal structure of RhPbAuS2. Source: the Alexandria database, functional GGA-PBE.

Properties
Energy relative to the elements, uncorrected, eV per atom: 1.204
DFT total energy, eV/f.u.: -16.57

a b c (Å): 5.113 5.113 5.136
angles (deg): 90.00 90.00 90.00
Space group P4/mmm (No. 123)
One atom of each set of equivalent atoms:
Rh (0.000, 0.000, 0.000) (multiplicity 1)
Pb (0.000, 0.000, 0.500) (multiplicity 1)
Au (0.500, 0.500, 0.000) (multiplicity 1)
S (0.000, 0.500, 0.500) (multiplicity 2)

=====

DFT total energy of number 1 (RhPb4Au)? -25.90 eV/f.u.

=====

Among the records above, which one has the highest DFT total energy? RhPbAuS2

=====

Which value of DFT total energy does entry 3 give? -16.57 eV/f.u.